A plane-wave DFT calculation with PBE was carried out for CsMg2Tl3 after structural relaxation.

Output
ΔH_f (0 K)	-63.9	meV/atom

a = 6.3215 Å, b = 8.1960 Å, c = 8.1960 Å
α = 108.28°, β = 90.00°, γ = 90.00°
Element x y z (fractional)
1 Cs 0.2500 0.3483 0.3483
2 Cs 0.7500 0.6517 0.6517
3 Tl 0.2500 0.9261 0.9261
4 Tl 0.7500 0.0739 0.0739
5 Tl 0.7500 0.0885 0.4720
6 Tl 0.7500 0.4720 0.0885
7 Tl 0.2500 0.5280 0.9115
8 Tl 0.2500 0.9115 0.5280
9 Mg 0.5000 0.1967 0.8033
10 Mg 0.5000 0.8033 0.1967
11 Mg 0.0000 0.8033 0.1967
12 Mg 0.0000 0.1967 0.8033

---

A plane-wave DFT calculation with PBE was carried out for CaMgSn2Au4 after structural relaxation.

Output
ΔH_f (0 K)	-469.6	meV/atom

a = 4.8196 Å, b = 4.8196 Å, c = 8.9476 Å
α = 74.38°, β = 74.38°, γ = 60.00°
Element x y z (fractional)
1 Ca 0.0000 0.0000 0.0000
2 Au 0.8614 0.8614 0.4158
3 Au 0.1386 0.1386 0.5842
4 Au 0.3887 0.3887 0.8340
5 Au 0.6113 0.6113 0.1660
6 Mg 0.5000 0.5000 0.5000
7 Sn 0.7480 0.7480 0.7562
8 Sn 0.2520 0.2520 0.2438

---

A plane-wave DFT calculation with PBE was carried out for Y2SiCl after structural relaxation.

Output
offset from the most stable computed form	494	meV per atom
formation energy (no corrections)	-0.65	eV per atom

a = 6.1303 Å, b = 6.1303 Å, c = 7.9839 Å
α = 67.42°, β = 67.42°, γ = 90.00°
Element x y z (fractional)
1 Si 0.2500 0.7500 0.5000
2 Si 0.5000 0.5000 0.0000
3 Y 0.8750 0.8669 0.7500
4 Y 0.6169 0.1250 0.2500
5 Y 0.1331 0.6250 0.2500
6 Y 0.3750 0.3831 0.7500
7 Cl 0.0000 0.0000 0.0000
8 Cl 0.7500 0.2500 0.5000

---

A plane-wave DFT calculation with PBE was carried out for Rb2Sn3HgBr8 after structural relaxation.

Output
formation energy (no corrections)	-0.96	eV per atom

a = 9.0003 Å, b = 9.0003 Å, c = 10.1531 Å
α = 63.69°, β = 63.69°, γ = 60.00°
Element x y z (fractional)
1 Br 0.2664 0.2664 0.2009
2 Br 0.7545 0.7545 0.1903
3 Br 0.2487 0.7040 0.7986
4 Br 0.2487 0.2487 0.7986
5 Br 0.7040 0.2487 0.7986
6 Br 0.7266 0.7266 0.8202
7 Br 0.7545 0.3007 0.1903
8 Br 0.3007 0.7545 0.1903
9 Hg 0.8582 0.8582 0.4254
10 Sn 0.5014 0.9933 0.0039
11 Sn 0.5014 0.5014 0.0039
12 Sn 0.9933 0.5014 0.0039
13 Rb 0.1341 0.1341 0.5977
14 Rb 0.5002 0.5002 0.4993

---

A plane-wave DFT calculation with PBE was carried out for AcTh2Si after structural relaxation.

Output
offset from the most stable computed form	185	meV per atom
formation energy (no corrections)	0.02	eV per atom

a = 3.8972 Å, b = 3.8972 Å, c = 11.0948 Å
α = 79.88°, β = 79.88°, γ = 60.00°
Element x y z (fractional)
1 Th 0.8876 0.8876 0.3371
2 Th 0.1124 0.1124 0.6629
3 Ac 0.0000 0.0000 0.0000
4 Si 0.5000 0.5000 0.5000

---

A plane-wave DFT calculation with PBE was carried out for InTe2PSe after structural relaxation.

Output
formation energy (no corrections)	0.81	eV per atom

a = 5.4279 Å, b = 5.7727 Å, c = 5.4279 Å
α = 90.00°, β = 90.00°, γ = 90.00°
Element x y z (fractional)
1 Te 0.5000 0.0000 0.0000
2 Te 0.0000 0.0000 0.5000
3 Se 0.0000 0.0000 0.0000
4 In 0.0000 0.5000 0.0000
5 P 0.5000 0.5000 0.5000

---

A plane-wave DFT calculation with PBE was carried out for Na2MgBiS4 after structural relaxation.

Output
formation energy (no corrections)	-0.87	eV per atom

a = 3.9037 Å, b = 6.6751 Å, c = 7.1177 Å
α = 108.22°, β = 90.00°, γ = 90.00°
Element x y z (fractional)
1 S 0.5000 0.7422 0.7717
2 S 0.0000 0.7322 0.2174
3 S 0.5000 0.2578 0.2283
4 S 0.0000 0.2678 0.7826
5 Mg 0.5000 0.5000 0.0000
6 Bi 0.0000 0.0000 0.0000
7 Na 0.0000 0.5000 0.5000
8 Na 0.5000 0.0000 0.5000

---

A plane-wave DFT calculation with PBE was carried out for CeEuDyEr after structural relaxation.

Output
ΔH_f (0 K)	222.1	meV/atom

a = 5.7415 Å, b = 5.7415 Å, c = 5.7415 Å
α = 60.00°, β = 60.00°, γ = 60.00°
Element x y z (fractional)
1 Dy 0.0000 0.0000 0.0000
2 Eu 0.7500 0.7500 0.7500
3 Ce 0.2500 0.2500 0.2500
4 Er 0.5000 0.5000 0.5000